1.
Below is an optimized crystal structure of PuScIn6, with properties calculated at the GGA-PBE level.

Unit cell a=4.593 b=4.593 c=9.173 alpha=90.00 beta=90.00 gamma=90.00
Sites, in units of the cell vectors:
Pu: 0.000 0.000 0.000
Sc: 0.000 0.000 0.500
In: 0.000 0.500 0.256
In: 0.000 0.500 0.744
In: 0.500 0.000 0.256
In: 0.500 0.000 0.744
In: 0.500 0.500 0.000
In: 0.500 0.500 0.500

Output
Final energy   -39.3 eV per cell
N(E_F)   13.636 states/eV/f.u.

=====

2.
Below is an optimized crystal structure of AsRu2Au, with properties calculated at the GGA-PBE level.

Unit cell a=3.014 b=3.014 c=6.699 alpha=90.00 beta=90.00 gamma=90.00
Sites, in units of the cell vectors:
As: 0.000 0.000 0.000
Ru: 0.500 0.500 0.212
Ru: 0.500 0.500 0.788
Au: 0.000 0.000 0.500

Output
Final energy   -25.9 eV per cell
N(E_F)   5.048 states/eV/f.u.

=====

3.
Below is an optimized crystal structure of KScZnF2, with properties calculated at the GGA-PBE level.

Unit cell a=4.499 b=4.499 c=5.935 alpha=90.00 beta=90.00 gamma=90.00
Sites, in units of the cell vectors:
K: 0.000 0.000 0.000
Sc: 0.500 0.500 0.000
Zn: 0.000 0.000 0.500
F: 0.000 0.500 0.500
F: 0.500 0.000 0.500

Output
Final energy   -14.4 eV per cell
Uncorrected formation energy   -392 meV/atom
N(E_F)   4.527 states/eV/f.u.

=====

4.
Below is an optimized crystal structure of TbSmNp2P4, with properties calculated at the GGA-PBE level.

Unit cell a=6.941 b=3.991 c=6.955 alpha=90.00 beta=109.34 gamma=90.00
Sites, in units of the cell vectors:
Tb: 0.000 0.000 0.000
Sm: 0.500 0.500 0.000
Np: 0.000 0.500 0.500
Np: 0.500 0.000 0.500
P: 0.244 0.000 0.739
P: 0.251 0.500 0.259
P: 0.749 0.500 0.741
P: 0.756 0.000 0.261

Output
Final energy   -66.5 eV per cell
N(E_F)   20.565 states/eV/f.u.

=====

5.
Below is an optimized crystal structure of SiMoP2Ru, with properties calculated at the GGA-PBE level.

Unit cell a=4.344 b=4.344 c=4.493 alpha=90.00 beta=90.00 gamma=90.00
Sites, in units of the cell vectors:
Si: 0.000 0.000 0.000
Mo: 0.000 0.000 0.500
P: 0.000 0.500 0.000
P: 0.500 0.000 0.000
Ru: 0.500 0.500 0.500

Output
Final energy   -29.7 eV per cell
Uncorrected formation energy   1328 meV/atom
N(E_F)   6.251 states/eV/f.u.

=====

6.
Below is an optimized crystal structure of YHoTm, with properties calculated at the GGA-PBE level.

Unit cell a=5.560 b=5.560 c=3.487 alpha=90.00 beta=90.00 gamma=120.00
Sites, in units of the cell vectors:
Y: 0.000 0.000 0.000
Ho: 0.333 0.667 0.500
Tm: 0.667 0.333 0.500

Output
Energy above the lowest structure with this stoichiometry   47 meV/atom
Final energy   -15.3 eV per cell
N(E_F)   6.174 states/eV/f.u.

=====

7.
Below is an optimized crystal structure of Sc2BeAl2, with properties calculated at the GGA-PBE level.

Unit cell a=6.383 b=6.383 c=4.458 alpha=90.00 beta=90.00 gamma=90.00
Sites, in units of the cell vectors:
Sc: 0.167 0.333 0.000
Sc: 0.333 0.833 0.000
Sc: 0.667 0.167 0.000
Sc: 0.833 0.667 0.000
Be: 0.000 0.000 0.500
Be: 0.500 0.500 0.500
Al: 0.143 0.643 0.500
Al: 0.357 0.143 0.500
Al: 0.643 0.857 0.500
Al: 0.857 0.357 0.500

Output
Final energy   -50.4 eV per cell
N(E_F)   1.533 states/eV/f.u.

=====

8.
Below is an optimized crystal structure of TmTlPb, with properties calculated at the GGA-PBE level.

Unit cell a=3.640 b=5.406 c=8.728 alpha=90.00 beta=90.00 gamma=90.00
Sites, in units of the cell vectors:
Tm: 0.250 0.250 0.194
Tm: 0.750 0.750 0.806
Tl: 0.250 0.250 0.838
Tl: 0.750 0.750 0.162
Pb: 0.250 0.750 0.490
Pb: 0.750 0.250 0.510

Output
Energy above the lowest structure with this stoichiometry   108 meV/atom
Final energy   -22.0 eV per cell
N(E_F)   1.582 states/eV/f.u.

=====

Spin magnetization (computed, μB per atom): 0.713 0.000 0.372 0.007 0.206 0.001 0.000 0.000